No. 1
A geometry-optimized GePIr2 structure, computed with PBE-GGA.

a b c (Å): 5.401 5.401 10.748
angles (deg): 90.00 90.00 90.00
Space group I-42d (No. 122)
Symmetry-distinct sites (fractional):
Ge (0.000, 0.000, 0.000) [4 per cell]
P (0.000, 0.000, 0.500) [4 per cell]
Ir (0.222, 0.250, 0.625) [8 per cell]

Results
As for the energy relative to the elements: -156.0 meV/atom. Its crystal system is tetragonal. Its total energy is -7.093 eV/atom. For the excess energy over the best structure of this formula in the dataset, the calculation gives 0.0 meV/atom.

---

No. 2
A geometry-optimized Ge2PIr2 structure, computed with PBE-GGA.

a b c (Å): 4.194 4.194 9.794
angles (deg): 90.00 90.00 90.00
Space group I4/mmm (No. 139)
Symmetry-distinct sites (fractional):
Ge (0.000, 0.000, 0.119) [4 per cell]
P (0.000, 0.000, 0.500) [2 per cell]
Ir (0.000, 0.500, 0.250) [4 per cell]

Results
As for the energy relative to the elements: 264.0 meV/atom. Its crystal system is tetragonal. Its total energy is -6.209 eV/atom. For the excess energy over the best structure of this formula in the dataset, the calculation gives 230.0 meV/atom.

---

No. 3
A geometry-optimized GePIr structure, computed with PBE-GGA.

a b c (Å): 2.917 5.436 6.145
angles (deg): 90.00 90.00 90.00
Space group Pmn2_1 (No. 31)
Symmetry-distinct sites (fractional):
Ge (0.000, 0.091, 0.000) [2 per cell]
P (0.000, 0.418, 0.262) [2 per cell]
Ir (0.000, 0.275, 0.628) [2 per cell]

Results
As for the energy relative to the elements: -480.1 meV/atom. Its crystal system is orthorhombic. Its total energy is -6.776 eV/atom.

---

No. 4
A geometry-optimized Ge2PIr2 structure, computed with PBE-GGA.

a b c (Å): 7.380 7.380 2.849
angles (deg): 90.00 90.00 90.00
Space group P4/mbm (No. 127)
Symmetry-distinct sites (fractional):
Ge (0.150, 0.350, 0.000) [4 per cell]
P (0.000, 0.000, 0.500) [2 per cell]
Ir (0.147, 0.647, 0.500) [4 per cell]

Results
As for the energy relative to the elements: 34.0 meV/atom. Its crystal system is tetragonal. Its total energy is -6.439 eV/atom. For the excess energy over the best structure of this formula in the dataset, the calculation gives 0.0 meV/atom.

---

No. 5
A geometry-optimized Ge2PIr2 structure, computed with PBE-GGA.

a b c (Å): 7.475 7.475 2.826
angles (deg): 90.00 90.00 90.00
Space group P4/mbm (No. 127)
Symmetry-distinct sites (fractional):
Ge (0.155, 0.345, 0.000) [4 per cell]
P (0.000, 0.000, 0.000) [2 per cell]
Ir (0.140, 0.640, 0.500) [4 per cell]

Results
As for the energy relative to the elements: 266.2 meV/atom. Its crystal system is tetragonal. Its total energy is -6.207 eV/atom. For the excess energy over the best structure of this formula in the dataset, the calculation gives 232.2 meV/atom.

---

No. 6
A geometry-optimized GePIr2 structure, computed with PBE-GGA.

a b c (Å): 6.137 6.137 6.137
angles (deg): 90.00 90.00 90.00
Space group Fm-3m (No. 225)
Symmetry-distinct sites (fractional):
Ge (0.000, 0.000, 0.000) [4 per cell]
P (0.000, 0.000, 0.500) [4 per cell]
Ir (0.250, 0.250, 0.250) [8 per cell]

Results
As for the energy relative to the elements: 154.8 meV/atom. Its crystal system is cubic. Its total energy is -6.782 eV/atom. For the excess energy over the best structure of this formula in the dataset, the calculation gives 310.8 meV/atom.

---

No. 7
A geometry-optimized Ge2P2Ir3 structure, computed with PBE-GGA.

a b c (Å): 6.371 6.384 6.321
angles (deg): 90.00 112.35 90.00
Space group P2_1/c (No. 14)
Symmetry-distinct sites (fractional):
Ge (0.129, 0.149, 0.399) [4 per cell]
P (0.359, 0.664, 0.652) [4 per cell]
Ir (0.000, 0.000, 0.000) [2 per cell]
Ir (0.310, 0.515, 0.286) [4 per cell]

Results
As for the energy relative to the elements: -401.6 meV/atom. Its crystal system is monoclinic. Its total energy is -7.064 eV/atom.

---

No. 8
A geometry-optimized Ge2PIr2 structure, computed with PBE-GGA.

a b c (Å): 3.791 3.791 11.729
angles (deg): 90.00 90.00 90.00
Space group I4/mmm (No. 139)
Symmetry-distinct sites (fractional):
Ge (0.000, 0.500, 0.250) [4 per cell]
P (0.000, 0.000, 0.000) [2 per cell]
Ir (0.000, 0.000, 0.385) [4 per cell]

Results
As for the energy relative to the elements: 207.0 meV/atom. Its crystal system is tetragonal. Its total energy is -6.266 eV/atom. For the excess energy over the best structure of this formula in the dataset, the calculation gives 173.0 meV/atom.

---

No. 9
A geometry-optimized GeP3Ir structure, computed with PBE-GGA.

a b c (Å): 4.653 4.653 4.653
angles (deg): 90.00 90.00 90.00
Space group Pm-3m (No. 221)
Symmetry-distinct sites (fractional):
Ge (0.000, 0.000, 0.000) [1 per cell]
P (0.000, 0.500, 0.500) [3 per cell]
Ir (0.500, 0.500, 0.500) [1 per cell]

Results
As for the energy relative to the elements: 793.5 meV/atom. Its crystal system is cubic. Its total energy is -5.148 eV/atom. For the excess energy over the best structure of this formula in the dataset, the calculation gives 0.0 meV/atom.

---

No. 10
A geometry-optimized PmGePIr2 structure, computed with PBE-GGA.

a b c (Å): 4.152 12.241 7.374
angles (deg): 90.00 90.00 90.00
Space group Cmcm (No. 63)
Symmetry-distinct sites (fractional):
Pm (0.000, 0.068, 0.250) [4 per cell]
Ge (0.000, 0.222, 0.750) [4 per cell]
P (0.000, 0.500, 0.000) [4 per cell]
Ir (0.000, 0.322, 0.054) [8 per cell]

Results
As for the energy relative to the elements: -682.1 meV/atom. Its crystal system is orthorhombic. Its total energy is -7.182 eV/atom.

---

No. 11
A geometry-optimized Pm2GeP3Ir4 structure, computed with PBE-GGA.

a b c (Å): 4.152 4.152 9.902
angles (deg): 90.00 90.00 90.00
Space group P-4m2 (No. 115)
Symmetry-distinct sites (fractional):
Pm (0.000, 0.500, 0.248) [2 per cell]
Ge (0.500, 0.500, 0.000) [1 per cell]
P (0.000, 0.000, 0.000) [1 per cell]
P (0.000, 0.500, 0.637) [2 per cell]
Ir (0.000, 0.000, 0.500) [1 per cell]
Ir (0.000, 0.500, 0.872) [2 per cell]
Ir (0.500, 0.500, 0.500) [1 per cell]

Results
As for the energy relative to the elements: -913.0 meV/atom. Its crystal system is tetragonal. Its total energy is -7.492 eV/atom.

---

No. 12
A geometry-optimized PrGePIr2 structure, computed with PBE-GGA.

a b c (Å): 4.202 12.166 7.432
angles (deg): 90.00 90.00 90.00
Space group Cmcm (No. 63)
Symmetry-distinct sites (fractional):
Pr (0.000, 0.064, 0.250) [4 per cell]
Ge (0.000, 0.222, 0.750) [4 per cell]
P (0.000, 0.500, 0.000) [4 per cell]
Ir (0.000, 0.322, 0.056) [8 per cell]

Results
As for the energy relative to the elements: -673.2 meV/atom. Its crystal system is orthorhombic. Its total energy is -7.179 eV/atom.